An optimized crystal structure of CaFeF2, computed with PBE with a Hubbard U.

Results
**Calculated density**: 2.936 g cm⁻³
**M_tot**: 3.262 Bohr magnetons per cell
**V**: 75.73 Å³/f.u.
**Distance to the lowest polymorph of the same formula**: 0.000 eV/atom
**DFT total energy**: -5.00 eV per atom

Cell: 7.174 7.174 7.174 Å, 28.79 28.79 28.79°
Site moments in Bohr magnetons follow the coordinates.
Positions (direct):
F: 0.880 0.880 0.880  0.01
F: 0.120 0.120 0.120  0.01
Ca: 0.500 0.500 0.500  0.00
Fe: 0.000 0.000 0.000  3.16